1.
The following is a DFT calculation (SCAN) of a PBEsol-optimized structure of CaTe2W.

**Total DFT energy (no corrections)**: -153.2 eV per formula unit
**Raw formation energy**: 0.161 eV per atom
**Crystal system**: tetragonal

Geometry as extended XYZ:
```
4
Lattice="-2.500 -0.295 -2.375 1.737 -4.532 -1.265 -3.003 -2.106 3.422" Properties=species:S:1:pos:R:3 pbc="T T T"
Te 0.868 -2.266 -0.633
Te -1.501 -1.053 1.711
W -1.883 -3.467 -0.109
Ca -1.250 -0.147 -1.188
```

2.
The following is a DFT calculation (SCAN) of a PBEsol-optimized structure of CaZnTe2.

**Total DFT energy (no corrections)**: -99.6 eV per formula unit
**Raw formation energy**: -0.482 eV per atom
**Crystal system**: tetragonal

Geometry as extended XYZ:
```
4
Lattice="-2.354 -4.193 -0.716 4.213 -2.184 -1.060 -0.404 2.183 5.051" Properties=species:S:1:pos:R:3 pbc="T T T"
Ca 0.000 0.000 0.000
Te 2.369 -1.595 1.552
Te -0.915 -2.600 1.723
Zn 0.929 -3.189 -0.888
```